[1]
Computed, not measured: crystalline SrLa2HgN at its relaxed geometry at the GGA-PBE level of DFT.

Results
Formation energy from raw total energies ... -0.69 eV per atom
Space group ... P4/mmm (123)

abc: 5.0719 5.0719 5.3357
angles: 90.00 90.00 90.00
Last column: nearest neighbours and their distance in Å.
Fractional positions:
Sr 0.0000 0.0000 0.0000  2 N 2.67
La 0.0000 0.5000 0.5000  2 N 2.54
La 0.5000 0.0000 0.5000  2 N 2.54
Hg 0.5000 0.5000 0.0000  4 Sr 3.59, 8 La 3.68
N 0.0000 0.0000 0.5000  4 La 2.54, 2 Sr 2.67



[2]
Computed, not measured: crystalline RbAgW at its relaxed geometry at the GGA-PBE level of DFT.

Results
Energy above the lowest structure with this stoichiometry ... 0 meV/atom
Formation energy ... 0.93 eV/atom
Space group ... Pnma (62)

abc: 9.7977 3.2268 11.4054
angles: 90.00 90.00 90.00
Last column: nearest neighbours and their distance in Å.
Fractional positions:
Rb 0.0800 0.2500 0.1755  2 Rb 3.23, 3 Ag 3.49-3.52
Rb 0.4200 0.7500 0.6755  2 Rb 3.23, 3 Ag 3.49-3.52
Rb 0.5800 0.2500 0.3245  2 Rb 3.23, 3 Ag 3.49-3.52
Rb 0.9200 0.7500 0.8245  2 Rb 3.23, 3 Ag 3.49-3.52
Ag 0.2482 0.2500 0.9027  2 W 2.83
Ag 0.2518 0.7500 0.4027  2 W 2.83
Ag 0.7482 0.2500 0.5973  2 W 2.83
Ag 0.7518 0.7500 0.0973  2 W 2.83
W 0.0770 0.2500 0.5398  2 W 2.39
W 0.4230 0.7500 0.0398  2 W 2.39
W 0.5770 0.2500 0.9602  2 W 2.39
W 0.9230 0.7500 0.4602  2 W 2.39



[3]
Computed, not measured: crystalline CrHSCl2 at its relaxed geometry at the GGA-PBE level of DFT.

Results
Energy above the lowest structure with this stoichiometry ... 180 meV/atom
Space group ... P4/mmm (123)

abc: 4.8694 4.8694 3.5049
angles: 90.00 90.00 90.00
Last column: nearest neighbours and their distance in Å.
Fractional positions:
Cr 0.0000 0.0000 0.0000  2 H 1.75
H 0.0000 0.0000 0.5000  2 Cr 1.75
S 0.5000 0.5000 0.5000  8 Cl 3.00
Cl 0.0000 0.5000 0.0000  2 Cr 2.43
Cl 0.5000 0.0000 0.0000  2 Cr 2.43



[4]
Computed, not measured: crystalline Th2Ga3Ni4Rh at its relaxed geometry at the GGA-PBE level of DFT.

Results
Formation energy ... -0.55 eV/atom
Space group ... P-4m2 (115)

abc: 3.8769 3.8769 11.2607
angles: 90.00 90.00 90.00
Last column: nearest neighbours and their distance in Å.
Fractional positions:
Th 0.0000 0.5000 0.2354  4 Ni 2.88, 4 Ga 3.16
Th 0.5000 0.0000 0.7646  4 Ni 2.88, 4 Ga 3.16
Ga 0.0000 0.0000 0.0000  4 Ni 2.63, 4 Rh 2.74
Ga 0.0000 0.5000 0.6248  5 Ni 2.39-2.45
Ga 0.5000 0.0000 0.3752  5 Ni 2.39-2.45
Ni 0.0000 0.0000 0.5000  4 Ga 2.39
Ni 0.0000 0.5000 0.8424  3 Ga 2.45-2.63, 2 Rh 2.63
Ni 0.5000 0.0000 0.1576  3 Ga 2.45-2.63, 2 Rh 2.63
Ni 0.5000 0.5000 0.5000  4 Ga 2.39
Rh 0.5000 0.5000 0.0000  4 Ni 2.63, 4 Ga 2.74



[5]
Computed, not measured: crystalline La8P3Se4Br at its relaxed geometry at the GGA-PBE level of DFT.

Results
Formation energy from raw total energies ... -1.82 eV per atom
Space group ... R-3m (166)

abc: 8.6172 8.6172 8.6172
angles: 59.87 59.87 59.87
Last column: nearest neighbours and their distance in Å.
Fractional positions:
La 0.2295 0.7556 0.7556  2 P 2.95, 3 Se 2.98-3.14, 1 Br 3.11
La 0.2440 0.2440 0.2440  3 P 2.97, 3 Se 3.12
La 0.2444 0.2444 0.7705  2 P 2.95, 3 Se 2.98-3.14, 1 Br 3.11
La 0.2444 0.7705 0.2444  2 P 2.95, 3 Se 2.98-3.14, 1 Br 3.11
La 0.7556 0.2295 0.7556  2 P 2.95, 3 Se 2.98-3.14, 1 Br 3.11
La 0.7556 0.7556 0.2295  2 P 2.95, 3 Se 2.98-3.14, 1 Br 3.11
La 0.7560 0.7560 0.7560  3 P 2.97, 3 Se 3.12
La 0.7705 0.2444 0.2444  2 P 2.95, 3 Se 2.98-3.14, 1 Br 3.11
P 0.0000 0.0000 0.5000  6 La 2.95-2.97
P 0.0000 0.5000 0.0000  6 La 2.95-2.97
P 0.5000 0.0000 0.0000  6 La 2.95-2.97
Se 0.0000 0.0000 0.0000  6 La 2.98
Se 0.0000 0.5000 0.5000  6 La 3.12-3.14
Se 0.5000 0.0000 0.5000  6 La 3.12-3.14
Se 0.5000 0.5000 0.0000  6 La 3.12-3.14
Br 0.5000 0.5000 0.5000  6 La 3.11



[6]
Computed, not measured: crystalline Ba6P2HI3 at its relaxed geometry at the GGA-PBE level of DFT.

Results
Total energy ... -44.7 eV per cell
Space group ... C2/m (12)

abc: 8.0808 8.0808 8.6657
angles: 98.91 98.91 120.01
Last column: nearest neighbours and their distance in Å.
Fractional positions:
Ba 0.0916 0.4309 0.7933  2 P 3.16-3.17, 1 H 3.23
Ba 0.2300 0.2300 0.2049  2 P 3.16, 1 H 3.21
Ba 0.4309 0.0916 0.7933  2 P 3.16-3.17, 1 H 3.23
Ba 0.5691 0.9084 0.2067  2 P 3.16-3.17, 1 H 3.23
Ba 0.7700 0.7700 0.7951  2 P 3.16, 1 H 3.21
Ba 0.9084 0.5691 0.2067  2 P 3.16-3.17, 1 H 3.23
P 0.1667 0.8333 0.0000  6 Ba 3.16-3.17
P 0.8333 0.1667 0.0000  6 Ba 3.16-3.17
H 0.5000 0.5000 0.0000  6 Ba 3.21-3.23
I 0.0000 0.0000 0.5000  6 Ba 3.60-3.64
I 0.3334 0.6666 0.5000  6 Ba 3.58-3.64
I 0.6666 0.3334 0.5000  6 Ba 3.58-3.64



[7]
Computed, not measured: crystalline KGaRh3 at its relaxed geometry at the GGA-PBE level of DFT.

Results
Energy above the lowest structure with this stoichiometry ... 1440 meV/atom
Formation energy ... 2.06 eV/atom
Space group ... Pm-3m (221)

abc: 4.7515 4.7515 4.7515
angles: 90.00 90.00 90.00
Last column: nearest neighbours and their distance in Å.
Fractional positions:
K 0.0000 0.0000 0.0000  6 Rh 2.38
Ga 0.5000 0.5000 0.5000  12 Rh 3.36
Rh 0.0000 0.0000 0.5000  2 K 2.38
Rh 0.0000 0.5000 0.0000  2 K 2.38
Rh 0.5000 0.0000 0.0000  2 K 2.38



[8]
Computed, not measured: crystalline Sm4Sb3Pb at its relaxed geometry at the GGA-PBE level of DFT.

Results
Formation energy from raw total energies ... -0.97 eV per atom
Space group ... Pm-3m (221)

abc: 6.3413 6.3413 6.3413
angles: 90.00 90.00 90.00
Last column: nearest neighbours and their distance in Å.
Fractional positions:
Sm 0.0000 0.0000 0.0000  6 Sb 3.17
Sm 0.0000 0.5000 0.5000  2 Pb 3.17, 4 Sb 3.17
Sm 0.5000 0.0000 0.5000  2 Pb 3.17, 4 Sb 3.17
Sm 0.5000 0.5000 0.0000  2 Pb 3.17, 4 Sb 3.17
Sb 0.0000 0.0000 0.5000  6 Sm 3.17
Sb 0.0000 0.5000 0.0000  6 Sm 3.17
Sb 0.5000 0.0000 0.0000  6 Sm 3.17
Pb 0.5000 0.5000 0.5000  6 Sm 3.17